The following is a DFT calculation (PBE) of an optimized crystal structure of La3CuPt.

Geometry as POSCAR:
```
La3CuPt
1.0
4.026 0.000 -0.718
-0.178 6.771 -0.998
-0.206 -0.190 10.491
Cu Pt La
2 2 6
direct
0.762 0.903 0.525
0.238 0.097 0.475
0.578 0.522 0.156
0.422 0.478 0.844
0.992 0.246 0.984
0.008 0.754 0.016
0.632 0.099 0.264
0.180 0.614 0.360
0.820 0.386 0.640
0.368 0.901 0.736
```

Crystal system ... monoclinic
Formation enthalpy at 0 K ... -528 meV/atom
Total magnetization ... 0.00 μB per cell
D(E_F) ... 10.28 states/eV per cell
Energy above the most stable polymorph in this dataset ... 0 meV per atom



The following is a DFT calculation (PBE) of an optimized crystal structure of LaCuPt.

Geometry as POSCAR:
```
LaCuPt
1.0
4.413 -0.002 0.000
-2.206 3.822 0.000
0.000 0.000 7.772
Pt Cu La
2 2 2
direct
0.667 0.833 0.750
0.333 0.167 0.250
0.333 0.167 0.750
0.667 0.833 0.250
0.000 0.500 0.500
0.000 0.500 0.000
```

Crystal system ... hexagonal
Formation enthalpy at 0 K ... -777 meV/atom
Total magnetization ... 0.00 μB per cell
D(E_F) ... 2.23 states/eV per cell
Energy above the most stable polymorph in this dataset ... 0 meV per atom



The following is a DFT calculation (PBE) of an optimized crystal structure of LaCu12Pt6.

Geometry as POSCAR:
```
LaCu12Pt6
1.0
6.945 0.028 0.039
-1.695 6.735 0.039
-1.695 -2.183 6.371
Cu Pt La
12 6 1
direct
0.376 0.102 0.376
0.624 0.624 0.898
0.892 0.108 0.500
0.500 0.892 0.108
0.898 0.624 0.624
0.108 0.892 0.500
0.624 0.898 0.624
0.102 0.376 0.376
0.500 0.108 0.892
0.892 0.500 0.108
0.376 0.376 0.102
0.108 0.500 0.892
0.289 0.690 0.289
0.310 0.711 0.711
0.711 0.310 0.711
0.289 0.289 0.690
0.690 0.289 0.289
0.711 0.711 0.310
0.000 0.000 0.000
```

Crystal system ... trigonal
Formation enthalpy at 0 K ... -6 meV/atom
Total magnetization ... 0.00 μB per cell
D(E_F) ... 10.81 states/eV per cell



The following is a DFT calculation (PBE) of an optimized crystal structure of La2Cu3Pt4.

Geometry as POSCAR:
```
La2Cu3Pt4
1.0
5.201 0.000 -2.037
0.000 7.671 0.000
0.217 0.000 8.211
Cu Pt La
6 8 4
direct
0.015 0.750 0.530
0.500 0.500 0.000
0.485 0.250 0.470
0.000 0.000 0.000
0.515 0.750 0.530
0.985 0.250 0.470
0.827 0.017 0.655
0.185 0.750 0.870
0.327 0.483 0.655
0.685 0.750 0.870
0.315 0.250 0.130
0.815 0.250 0.130
0.673 0.517 0.345
0.173 0.983 0.345
0.611 0.912 0.222
0.389 0.088 0.778
0.889 0.412 0.778
0.111 0.588 0.222
```

Crystal system ... orthorhombic
Formation enthalpy at 0 K ... -702 meV/atom
Total magnetization ... 0.00 μB per cell
D(E_F) ... 6.06 states/eV per cell



The following is a DFT calculation (PBE) of an optimized crystal structure of LaPuCuPt.

Geometry as POSCAR:
```
LaPuCuPt
1.0
-2.835 3.287 -2.609
-4.644 1.192 1.633
-0.915 4.610 1.887
Pu Pt La Cu
1 1 1 1
direct
0.000 0.000 0.000
0.250 0.250 0.250
0.500 0.500 0.500
0.750 0.750 0.750
```

Crystal system ... cubic
Formation enthalpy at 0 K ... -461 meV/atom
Total magnetization ... 5.77 μB per cell
D(E_F) ... 11.49 states/eV per cell



The following is a DFT calculation (PBE) of an optimized crystal structure of LaCuPt2S.

Geometry as POSCAR:
```
LaCuPt2S
1.0
-3.097 2.185 3.543
-1.793 -4.726 1.348
3.764 -0.416 3.547
La Pt S Cu
1 2 1 1
direct
0.000 0.000 0.000
0.500 0.000 0.000
0.000 0.000 0.500
0.500 0.500 0.500
0.000 0.500 0.000
```

DFT total energy ... -0.1396 Ha/atom
Crystal system ... tetragonal
Total magnetization ... 0.00 μB per cell
D(E_F) ... 3.24 states/eV per cell



The following is a DFT calculation (PBE) of an optimized crystal structure of LaScCuPt2.

Geometry as POSCAR:
```
LaScCuPt2
1.0
-0.660 -4.772 1.835
2.636 1.357 4.479
-4.442 1.451 2.175
Pt Sc La Cu
2 1 1 1
direct
0.500 0.000 0.000
0.000 0.000 0.500
0.000 0.500 0.000
0.000 0.000 0.000
0.500 0.500 0.500
```

Crystal system ... tetragonal
Formation enthalpy at 0 K ... 1101 meV/atom
Total magnetization ... 0.00 μB per cell
D(E_F) ... 4.88 states/eV per cell
Energy above the most stable polymorph in this dataset ... 2025 meV per atom



The following is a DFT calculation (PBE) of an optimized crystal structure of LaScCuPt2.

Geometry as POSCAR:
```
LaScCuPt2
1.0
4.013 0.000 0.000
0.000 4.013 0.000
-2.007 -2.007 6.407
Cu Pt Sc La
1 2 1 1
direct
0.250 0.750 0.500
0.608 0.608 0.216
0.392 0.392 0.784
0.750 0.250 0.500
0.000 0.000 0.000
```

Crystal system ... tetragonal
Formation enthalpy at 0 K ... -924 meV/atom
Total magnetization ... 0.00 μB per cell
D(E_F) ... 2.84 states/eV per cell
Energy above the most stable polymorph in this dataset ... 0 meV per atom



The following is a DFT calculation (PBE) of an optimized crystal structure of LaCuPt2Se.

Geometry as POSCAR:
```
LaCuPt2Se
1.0
-4.549 -2.253 1.225
2.815 -4.618 1.962
0.215 2.151 4.754
Pt La Cu Se
2 1 1 1
direct
0.500 0.000 0.000
0.000 0.000 0.500
0.000 0.000 0.000
0.500 0.500 0.500
0.000 0.500 0.000
```

DFT total energy ... -0.1497 Ha/atom
Crystal system ... tetragonal
Total magnetization ... 0.00 μB per cell
D(E_F) ... 3.86 states/eV per cell



The following is a DFT calculation (PBE) of an optimized crystal structure of LaCuSi2Pt5.

Geometry as POSCAR:
```
LaCuSi2Pt5
1.0
4.116 0.000 0.000
0.000 4.116 0.000
0.000 0.000 10.186
Si Cu Pt La
2 1 5 1
direct
0.500 0.500 0.268
0.500 0.500 0.732
0.000 0.000 0.000
0.000 0.500 0.846
0.500 0.000 0.846
0.500 0.000 0.154
0.500 0.500 0.500
0.000 0.500 0.154
0.000 0.000 0.500
```

DFT total energy ... -0.2290 Ha/atom
Crystal system ... tetragonal
Total magnetization ... 0.00 μB per cell
D(E_F) ... 2.80 states/eV per cell



The following is a DFT calculation (PBE) of an optimized crystal structure of La2CuSiPt6.

Geometry as POSCAR:
```
La2CuSiPt6
1.0
-6.183 2.347 0.451
-2.000 -4.398 -4.538
-5.016 -4.115 1.357
Pt La Si Cu
6 2 1 1
direct
0.256 0.744 0.000
0.744 0.256 0.000
0.744 0.744 0.512
0.256 0.256 0.000
0.744 0.744 0.000
0.256 0.256 0.488
0.750 0.250 0.500
0.250 0.750 0.500
0.500 0.500 0.000
0.000 0.000 0.000
```

DFT total energy ... -0.2252 Ha/atom
Crystal system ... cubic
Total magnetization ... 0.00 μB per cell
D(E_F) ... 5.91 states/eV per cell



The following is a DFT calculation (PBE) of an optimized crystal structure of LaCuSiPt6.

Geometry as POSCAR:
```
LaCuSiPt6
1.0
-3.285 -0.804 -6.200
-2.808 -8.018 2.528
-1.591 6.716 3.994
Pt La Si Cu
12 2 2 2
direct
0.902 0.152 0.803
0.635 0.362 0.749
0.365 0.638 0.251
0.586 0.336 0.171
0.886 0.113 0.251
0.098 0.848 0.197
0.886 0.638 0.251
0.365 0.113 0.251
0.414 0.664 0.829
0.114 0.887 0.749
0.114 0.362 0.749
0.635 0.887 0.749
0.846 0.596 0.691
0.154 0.404 0.309
0.500 0.000 0.000
0.500 0.500 0.000
0.000 0.000 0.500
0.500 0.000 0.500
```

DFT total energy ... -0.2212 Ha/atom
Crystal system ... orthorhombic
Total magnetization ... 0.00 μB per cell
D(E_F) ... 8.37 states/eV per cell



The following is a DFT calculation (PBE) of an optimized crystal structure of La2CuSi4Pt3.

Geometry as POSCAR:
```
La2CuSi4Pt3
1.0
-0.562 4.248 0.235
-4.252 -0.569 0.130
0.371 -0.500 9.907
La Si Pt Cu
2 4 3 1
direct
0.000 0.500 0.750
0.500 0.000 0.250
0.000 0.500 0.370
0.500 0.500 0.000
0.000 0.000 0.000
0.500 0.000 0.630
0.000 0.500 0.120
0.500 0.000 0.880
0.000 0.000 0.500
0.500 0.500 0.500
```

DFT total energy ... -0.2348 Ha/atom
Crystal system ... tetragonal
Total magnetization ... 0.00 μB per cell
D(E_F) ... 4.92 states/eV per cell



The following is a DFT calculation (PBE) of an optimized crystal structure of LaSmCuPt.

Geometry as POSCAR:
```
LaSmCuPt
1.0
5.111 0.000 0.000
2.555 4.426 0.000
2.555 1.475 4.173
Pt La Cu Sm
1 1 1 1
direct
0.750 0.750 0.750
0.500 0.500 0.500
0.250 0.250 0.250
0.000 0.000 0.000
```

Crystal system ... cubic
Formation enthalpy at 0 K ... -639 meV/atom
Total magnetization ... 0.00 μB per cell
D(E_F) ... 2.47 states/eV per cell
Energy above the most stable polymorph in this dataset ... 62 meV per atom



The following is a DFT calculation (PBE) of an optimized crystal structure of LaSmCuPt.

Geometry as POSCAR:
```
LaSmCuPt
1.0
-2.275 -0.851 3.093
3.687 -1.488 2.302
1.929 5.409 0.407
La Cu Sm Pt
1 1 1 1
direct
0.139 0.000 0.278
0.575 0.500 0.150
0.864 0.500 0.728
0.422 0.000 0.843
```

Crystal system ... orthorhombic
Formation enthalpy at 0 K ... -700 meV/atom
Total magnetization ... 0.00 μB per cell
D(E_F) ... 3.60 states/eV per cell
Energy above the most stable polymorph in this dataset ... 0 meV per atom



The following is a DFT calculation (PBE) of an optimized crystal structure of LaCuSn2Pt4.

Geometry as POSCAR:
```
LaCuSn2Pt4
1.0
-3.780 -1.699 1.693
0.147 -3.662 2.572
-0.256 3.419 8.778
Pt Sn Cu La
4 2 1 1
direct
0.137 0.137 0.588
0.598 0.598 0.206
0.402 0.402 0.794
0.863 0.863 0.412
0.761 0.761 0.718
0.239 0.239 0.282
0.500 0.500 0.500
0.000 0.000 0.000
```

Crystal system ... trigonal
Formation enthalpy at 0 K ... -647 meV/atom
Total magnetization ... 0.00 μB per cell
D(E_F) ... 2.76 states/eV per cell



The following is a DFT calculation (PBE) of an optimized crystal structure of La2CuSnPt6.

Geometry as POSCAR:
```
La2CuSnPt6
1.0
-2.335 0.663 -6.409
1.945 -6.426 -1.373
-4.538 -4.499 -2.476
La Pt Sn Cu
2 6 1 1
direct
0.250 0.750 0.500
0.750 0.250 0.500
0.241 0.759 0.000
0.759 0.759 0.000
0.759 0.759 0.483
0.241 0.241 0.517
0.241 0.241 0.000
0.759 0.241 0.000
0.500 0.500 0.000
0.000 0.000 0.000
```

Crystal system ... cubic
Formation enthalpy at 0 K ... -260 meV/atom
Total magnetization ... 0.00 μB per cell
D(E_F) ... 5.60 states/eV per cell



The following is a DFT calculation (PBE) of an optimized crystal structure of La2CuSn3Pt4.

Geometry as POSCAR:
```
La2CuSn3Pt4
1.0
4.557 0.000 0.000
0.000 4.557 0.000
0.000 0.000 10.713
Sn La Pt Cu
3 2 4 1
direct
0.500 0.000 0.869
0.000 0.000 0.500
0.000 0.500 0.131
0.000 0.500 0.739
0.500 0.000 0.261
0.000 0.500 0.374
0.500 0.500 0.000
0.000 0.000 0.000
0.500 0.000 0.626
0.500 0.500 0.500
```

Crystal system ... tetragonal
Formation enthalpy at 0 K ... -813 meV/atom
Total magnetization ... 0.00 μB per cell
D(E_F) ... 6.19 states/eV per cell



The following is a DFT calculation (PBE) of an optimized crystal structure of LaCuSnPt3.

Geometry as POSCAR:
```
LaCuSnPt3
1.0
-5.150 -3.167 4.370
2.708 -5.011 -0.440
1.886 3.836 5.003
La Pt Cu Sn
2 6 2 2
direct
0.250 0.678 0.355
0.750 0.322 0.645
0.000 0.250 0.000
0.750 0.846 0.691
0.250 0.154 0.309
0.500 0.250 0.000
0.000 0.750 0.000
0.500 0.750 0.000
0.750 0.075 0.150
0.250 0.925 0.850
0.250 0.376 0.752
0.750 0.624 0.248
```

Crystal system ... orthorhombic
Formation enthalpy at 0 K ... -597 meV/atom
Total magnetization ... 0.00 μB per cell
D(E_F) ... 5.72 states/eV per cell



The following is a DFT calculation (PBE) of an optimized crystal structure of SrLaCuPt.

Geometry as POSCAR:
```
SrLaCuPt
1.0
-1.372 -1.599 -4.752
3.420 -2.547 -2.973
-0.650 -5.069 -0.950
Sr La Pt Cu
1 1 1 1
direct
0.500 0.500 0.500
0.000 0.000 0.000
0.750 0.750 0.750
0.250 0.250 0.250
```

Crystal system ... cubic
Formation enthalpy at 0 K ... -512 meV/atom
Total magnetization ... 0.00 μB per cell
D(E_F) ... 4.09 states/eV per cell